A relaxed Be2CoP crystal, computed with PBE-GGA.

Cell lengths 3.343, 3.343, 3.327 Å; angles 90.00, 90.00, 90.00 degrees
Positions (direct):
Be 0.000 0.000 0.000
P 0.000 0.500 0.500
Co 0.500 0.000 0.500
Be 0.500 0.500 0.000

Values from the calculation:
space-group type	P4/mmm, No. 123
energy relative to the elements	-0.229	eV/atom
magnetic moment	0.00	μB per formula unit